1.
Entry from Alexandria via LeMat-Bulk: a geometry-optimized Sr2FeSiW structure (PBE).

It has space group P4/mmm (No. 123), with a = 5.891 Å, b = 5.891 Å, c = 4.386 Å, α = 90.00°, β = 90.00° and γ = 90.00°. The distinct sites, in fractional coordinates, are Sr at (0.000, 0.500, 0.000), Fe at (0.000, 0.000, 0.500), Si at (0.000, 0.000, 0.000) and W at (0.500, 0.500, 0.500).

As for the magnetization: 2.38 μB/f.u. The calculated volume comes out at 30.4 Å³/atom. The calculation puts the density of states at the Fermi level at 0.63 states/eV/atom. The value obtained for the calculated density is 4834 kg/m3. The uncorrected formation energy comes out at 1174 meV per atom. The value obtained for the final energy is -0.1788 hartree per atom.



2.
Entry from Alexandria via LeMat-Bulk: a geometry-optimized Sr2ZnFeSi structure (PBE).

It has space group P4/mmm (No. 123), with a = 5.768 Å, b = 5.768 Å, c = 4.561 Å, α = 90.00°, β = 90.00° and γ = 90.00°. The distinct sites, in fractional coordinates, are Sr at (0.000, 0.500, 0.000), Zn at (0.000, 0.000, 0.000), Fe at (0.000, 0.000, 0.500) and Si at (0.500, 0.500, 0.500).

As for the magnetization: 2.34 μB/f.u. The calculated volume comes out at 30.4 Å³/atom. The calculation puts the density of states at the Fermi level at 0.70 states/eV/atom. The value obtained for the calculated density is 3552 kg/m3. The uncorrected formation energy comes out at 533 meV per atom. The value obtained for the final energy is -0.1166 hartree per atom.



3.
Entry from Alexandria via LeMat-Bulk: a geometry-optimized TaFe2Si structure (PBE).

It has space group I-42d (No. 122), with a = 6.694 Å, b = 6.694 Å, c = 5.121 Å, α = 90.00°, β = 90.00° and γ = 90.00°. The distinct sites, in fractional coordinates, are Ta at (0.000, 0.000, 0.000), Fe at (0.213, 0.250, 0.625) and Si at (0.000, 0.000, 0.500).

As for the magnetization: 4.06 μB/f.u. The calculated volume comes out at 14.3 Å³/atom. The calculation puts the density of states at the Fermi level at 1.43 states/eV/atom. The value obtained for the calculated density is 9285 kg/m3. The uncorrected formation energy comes out at 312 meV per atom. The value obtained for the final energy is -0.3028 hartree per atom.



> calculated volume of number 3 (TaFe2Si)?

14.3 Å³/atom